This record from the Alexandria database describes a geometry-optimized TeWAu structure. The functional is PBEsol.

## Properties
- Crystal system: cubic
- Symmetry: F-43m
- Mass density: 12.42 Mg/m³
- Raw formation energy: 142.0 kJ per mole of atoms
- Energy above the most stable polymorph in this dataset: 0.933 eV per atom

Lattice parameters (Å, degrees): 4.581 4.581 4.581 60.00 60.00 60.00
Site moments in Bohr magnetons follow the coordinates.
Positions (direct):
1 Au 0.250 0.250 0.250  0.11
2 Te 0.000 0.000 0.000  -0.07
3 W 0.500 0.500 0.500  1.98